The following is a DFT calculation (PBE-GGA) of La2Ni4SbP3 after structural relaxation.

POSCAR file:
```
La2Ni4SbP3
1.0
4.167 0.000 0.000
0.000 4.167 0.000
0.000 0.000 9.650
La Ni Sb P
2 4 1 3
Direct
0.500 0.000 0.233
0.000 0.500 0.767
0.500 0.500 0.000
0.000 0.000 0.000
0.500 0.000 0.639
0.000 0.500 0.361
0.500 0.500 0.500
0.000 0.000 0.500
0.500 0.000 0.878
0.000 0.500 0.122
```

Computed properties:
The value obtained for the theoretical density is 7.21 g/cm³. As for the energy: -6.191 eV/atom. As for the space-group type: No. 115. The total moment comes out at 0.000 μB/atom. As for the formation energy from raw total energies: -19.78 kcal/mol of atoms.


The following is a DFT calculation (PBE-GGA) of SrTlCuI4 after structural relaxation.

POSCAR file:
```
SrTlCuI4
1.0
7.489 0.000 0.012
0.000 8.075 0.000
-2.914 0.000 9.074
Sr Tl Cu I
2 2 2 8
Direct
0.770 0.750 0.441
0.230 0.250 0.559
0.756 0.750 0.944
0.244 0.250 0.056
0.225 0.750 0.318
0.775 0.250 0.682
0.004 0.505 0.730
0.996 0.005 0.270
0.996 0.495 0.270
0.004 0.995 0.730
0.422 0.750 0.132
0.578 0.250 0.868
0.437 0.750 0.596
0.563 0.250 0.404
```

Computed properties:
The value obtained for the theoretical density is 5.22 g/cm³. As for the energy: -2.984 eV/atom. As for the space-group type: No. 11. The total moment comes out at 0.000 μB/atom. As for the formation energy from raw total energies: -21.56 kcal/mol of atoms.


The following is a DFT calculation (PBE-GGA) of PaInHgBi after structural relaxation.

POSCAR file:
```
PaInHgBi
1.0
5.341 0.000 0.000
2.670 4.625 0.000
2.670 1.542 4.361
Pa In Bi Hg
1 1 1 1
Direct
0.000 0.000 0.000
0.500 0.500 0.500
0.750 0.750 0.750
0.250 0.250 0.250
```

Computed properties:
The value obtained for the theoretical density is 11.65 g/cm³. As for the energy: -4.007 eV/atom. As for the space-group type: No. 216. The total moment comes out at 0.164 μB/atom.


The following is a DFT calculation (PBE-GGA) of Rb3CdRu after structural relaxation.

POSCAR file:
```
Rb3CdRu
1.0
-6.072 -0.295 -2.224
0.720 -6.334 -1.124
-2.125 -1.302 5.974
Ru Rb Cd
1 3 1
Direct
0.000 0.000 0.000
0.000 0.500 0.000
0.000 0.000 0.500
0.500 0.000 0.000
0.500 0.500 0.500
```

Computed properties:
The value obtained for the theoretical density is 2.88 g/cm³. As for the energy: -1.720 eV/atom. As for the space-group type: No. 221. The total moment comes out at 0.226 μB/atom.


Q: total moment of number 3 (PaInHgBi)?
A: 0.164 μB/atom


Q: The highest total moment belongs to which entry?
A: Rb3CdRu


Q: The highest total moment belongs to which entry?
A: Rb3CdRu